4
Lattice="3.3594 0.0000 0.0000 0.0000 3.3594 0.0000 0.0000 0.0000 7.8737" Properties=species:S:1:pos:R:3 comment="TbMgScOs | Alexandria via LeMat-Bulk | GGA-PBE | relaxed" formation_enthalpy_0k_ev_per_atom=-0.246 dft_energy_ev_per_atom=-6.192 pbc="T T T"
Tb 0.0000 0.0000 0.0000
Mg 1.6797 1.6797 2.5232
Sc 0.0000 0.0000 4.6864
Os 1.6797 1.6797 6.1242